Computed, not measured: a relaxed Li3AlFe2O6 crystal at the PBE+U level of DFT.

Computed properties:
* calculated total energy: -6.235 eV/atom

Cell and atoms, written as CIF:
```
data_Li3AlFe2O6
_cell_length_a 5.379
_cell_length_b 5.934
_cell_length_c 7.941
_cell_angle_alpha 90.54
_cell_angle_beta 98.24
_cell_angle_gamma 90.37
_space_group_name_H-M_alt 'P -1'
_space_group_IT_number 2
_space_group_name_Hall '-P 1'
loop_
_atom_site_label
_atom_site_type_symbol
_atom_site_fract_x
_atom_site_fract_y
_atom_site_fract_z
_atom_site_occupancy
Li1 Li 0.006 0.167 0.243 1
Li2 Li 0.154 0.661 0.077 1
Li3 Li 0.329 0.842 0.409 1
Al1 Al 0.497 0.331 0.250 1
Fe1 Fe 0.161 0.324 0.570 1
Fe2 Fe 0.326 0.171 0.911 1
O1 O 0.016 0.167 0.745 1
O2 O 0.174 0.655 0.589 1
O3 O 0.197 0.330 0.088 1
O4 O 0.348 0.187 0.409 1
O5 O 0.353 0.836 0.906 1
O6 O 0.485 0.358 0.751 1
```